#i
DFT (PBE) results for a geometry-optimized ScPa2Te4 structure.

The density of states at the Fermi level is 8.9 states/eV/cell. The space-group type is C2/m. The value obtained for the spin magnetization is 0.375 μB per atom.

Geometry as POSCAR:
```
ScPa2Te4
1.0
-1.071 3.211 -2.253
-4.549 1.994 5.003
8.119 1.502 1.952
Sc Pa Te
1 2 4
Direct
0.000 0.000 0.000
0.751 0.756 0.502
0.249 0.244 0.498
0.886 0.223 0.773
0.114 0.777 0.227
0.613 0.288 0.226
0.387 0.712 0.774
```

***

#ii
DFT (PBE) results for a geometry-optimized ScPa2Te4 structure.

The density of states at the Fermi level is 17.6 states/eV/cell. The space-group type is Fdd2. The value obtained for the spin magnetization is 0.448 μB per atom.

Geometry as POSCAR:
```
ScPa2Te4
1.0
-7.819 2.324 1.796
1.709 -3.987 -7.138
1.856 -5.874 6.129
Sc Pa Te
2 4 8
Direct
0.747 0.247 0.500
0.497 0.497 0.000
0.502 0.504 0.506
0.998 0.995 0.494
0.245 0.748 0.994
0.754 0.252 0.006
0.556 0.788 0.843
0.038 0.306 0.343
0.037 0.280 0.822
0.530 0.787 0.322
0.466 0.209 0.678
0.945 0.713 0.157
0.963 0.695 0.657
0.459 0.216 0.178
```

***

Most stable: #i

***

#i
DFT (PBE) results for a geometry-optimized ThSc2Pa structure.

The density of states at the Fermi level is 7.4 states/eV/cell. The space-group type is P4/mmm. The value obtained for the spin magnetization is 0.065 μB per atom.

Geometry as POSCAR:
```
ThSc2Pa
1.0
-2.904 -1.587 0.282
1.571 -2.656 1.229
-1.043 3.487 8.873
Sc Pa Th
2 1 1
Direct
0.000 0.000 0.765
0.000 0.000 0.235
0.500 0.500 0.000
0.500 0.500 0.500
```

***

#ii
DFT (PBE) results for a geometry-optimized ThSc2Pa structure.

The density of states at the Fermi level is 6.7 states/eV/cell. The space-group type is P4/mmm. The value obtained for the spin magnetization is 0.000 μB per atom.

Geometry as POSCAR:
```
ThSc2Pa
1.0
4.788 0.000 0.000
0.000 4.697 0.000
0.000 0.000 4.697
Sc Pa Th
2 1 1
Direct
0.000 0.000 0.500
0.000 0.500 0.000
0.500 0.500 0.500
0.500 0.000 0.000
```

***

#iii
DFT (PBE) results for a geometry-optimized ThSc2Pa structure.

The density of states at the Fermi level is 8.9 states/eV/cell. The space-group type is R-3m. The value obtained for the spin magnetization is 0.001 μB per atom.

Geometry as POSCAR:
```
ThSc2Pa
1.0
5.315 0.000 0.000
2.657 4.603 0.000
2.657 1.534 4.338
Sc Pa Th
2 1 1
Direct
0.249 0.249 0.252
0.751 0.751 0.748
0.000 0.000 0.000
0.500 0.500 0.500
```

***

Most stable: #i

***

#i
DFT (PBE) results for a geometry-optimized Th2ScPa structure.

The density of states at the Fermi level is 9.8 states/eV/cell. The space-group type is Fm-3m. The value obtained for the spin magnetization is 0.000 μB per atom.

Geometry as POSCAR:
```
Th2ScPa
1.0
5.427 0.000 0.000
2.713 4.699 0.000
2.713 1.566 4.431
Sc Pa Th
1 1 2
Direct
0.000 0.000 0.000
0.500 0.500 0.500
0.250 0.250 0.250
0.750 0.750 0.750
```

***

#ii
DFT (PBE) results for a geometry-optimized Th2ScPa structure.

The density of states at the Fermi level is 5.8 states/eV/cell. The space-group type is R-3m. The value obtained for the spin magnetization is 0.000 μB per atom.

Geometry as POSCAR:
```
Th2ScPa
1.0
-2.343 1.223 2.017
-1.594 -2.015 2.111
7.015 1.904 9.734
Sc Pa Th
1 1 2
Direct
0.500 0.500 0.500
0.000 0.000 0.000
0.087 0.087 0.738
0.913 0.913 0.262
```

***

Most stable: #i